(1)
The following is a PBE-GGA calculation of NbTl7S6 after structural relaxation, from Alexandria.

Structure (extended XYZ):
```
28
Lattice="7.217 0.000 2.708 2.903 10.922 3.234 -0.253 1.588 11.644" Properties=species:S:1:pos:R:3 pbc="T T T"
Nb 6.075 3.127 5.751
Nb 3.792 9.382 11.835
S 0.877 3.927 9.664
S 8.989 8.583 7.922
S 5.385 8.594 6.558
S 4.432 9.340 14.044
S 9.710 11.225 14.087
S 5.434 3.169 3.542
S 0.157 1.284 3.499
S 5.727 9.424 10.594
S 7.353 4.970 6.261
S 4.139 3.086 6.992
S 4.482 3.916 11.028
S 2.514 7.539 11.325
Tl 4.119 10.187 4.445
Tl 2.888 9.320 7.932
Tl 6.968 10.717 8.028
Tl 6.646 6.989 8.680
Tl 1.854 4.653 12.341
Tl 3.932 6.460 5.149
Tl 2.467 3.127 4.396
Tl 5.748 2.323 13.141
Tl 6.979 3.189 9.654
Tl 2.898 1.793 9.558
Tl 7.400 9.382 13.189
Tl 5.935 6.050 12.437
Tl 3.221 5.520 8.905
Tl 8.013 7.856 5.245
```

Raw formation energy in meV/atom: -499
Space group: Ibam

---

(2)
The following is a PBE-GGA calculation of Y4SbAu after structural relaxation, from Alexandria.

Structure (extended XYZ):
```
24
Lattice="-0.305 -1.506 3.826 0.983 -7.723 -2.962 19.185 1.613 2.164" Properties=species:S:1:pos:R:3 pbc="T T T"
Y 18.574 -7.236 1.964
Y 13.138 -6.631 1.769
Y 10.795 -0.477 1.783
Y 6.726 -0.984 1.259
Y 9.068 -7.139 1.245
Y 3.503 -5.158 -0.641
Y 16.361 -2.458 3.669
Y 8.672 -3.662 0.360
Y 1.286 -3.890 1.903
Y 14.193 -3.256 0.960
Y 4.895 -8.327 0.444
Y 14.969 0.712 2.584
Y 1.290 -0.380 1.064
Y 11.192 -3.954 2.668
Y 5.671 -4.359 2.068
Y 18.577 -3.725 1.125
Au 8.616 -2.359 3.090
Au 1.509 -6.860 0.752
Au 18.355 -0.756 2.276
Au 11.248 -5.256 -0.062
Sb 6.665 -5.864 -0.667
Sb 13.199 -1.752 3.695
Sb 16.055 -5.414 2.480
Sb 3.809 -2.201 0.548
```

N(E_F) in states/eV/atom: 1.025
Raw formation energy in meV/atom: -702
Space group: Pnma
Energy above the lowest structure with this stoichiometry in meV/atom: 0

---

(3)
The following is a PBE-GGA calculation of CaAlBi3 after structural relaxation, from Alexandria.

Structure (extended XYZ):
```
5
Lattice="-5.298 -1.467 -0.579 -0.017 -1.978 5.162 -1.577 4.949 1.891" Properties=species:S:1:pos:R:3 pbc="T T T"
Bi -0.788 2.475 0.946
Bi -2.649 -0.733 -0.290
Bi -0.008 -0.989 2.581
Al 0.000 0.000 0.000
Ca -3.446 0.752 3.237
```

N(E_F) in states/eV/atom: 0.932
Calculated formation energy in eV/atom: 0.120
Space group: Pm-3m
Energy above the lowest structure with this stoichiometry in meV/atom: 0

---

(4)
The following is a PBE-GGA calculation of Er2TmPa after structural relaxation, from Alexandria.

Structure (extended XYZ):
```
4
Lattice="-2.106 -3.557 3.628 2.634 -4.704 1.085 2.440 -0.724 4.875" Properties=species:S:1:pos:R:3 pbc="T T T"
Pa 0.000 0.000 0.000
Er 0.742 -2.246 2.397
Er 2.226 -6.738 7.191
Tm 1.484 -4.492 4.794
```

N(E_F) in states/eV/atom: 2.471
Calculated formation energy in eV/atom: 0.329
Space group: Fm-3m
Energy above the lowest structure with this stoichiometry in meV/atom: 229

---

(5)
The following is a PBE-GGA calculation of YPdSCl2 after structural relaxation, from Alexandria.

Structure (extended XYZ):
```
5
Lattice="-3.105 -4.002 -1.155 1.465 -2.397 4.370 -4.018 2.356 2.639" Properties=species:S:1:pos:R:3 pbc="T T T"
S -2.009 1.178 1.319
Cl -1.552 -2.001 -0.577
Cl 0.732 -1.199 2.185
Pd -2.829 -2.022 2.927
Y 0.000 0.000 0.000
```

N(E_F) in states/eV/atom: 0.776
Raw formation energy in meV/atom: -819
Space group: P4/mmm
Energy above the lowest structure with this stoichiometry in meV/atom: 0

---

(6)
The following is a PBE-GGA calculation of LaPr2I after structural relaxation, from Alexandria.

Structure (extended XYZ):
```
4
Lattice="3.694 0.000 0.000 1.847 3.200 0.000 1.847 1.067 12.177" Properties=species:S:1:pos:R:3 pbc="T T T"
Pr 1.847 1.067 8.673
Pr 5.542 3.200 3.504
La 0.000 0.000 0.000
I 3.694 2.133 6.088
```

N(E_F) in states/eV/atom: 1.644
Raw formation energy in meV/atom: -191
Space group: R-3m
Energy above the lowest structure with this stoichiometry in meV/atom: 200

---

Number 1: uncorrected energy -116.8 eV per cell, spin magnetization 0.00 μB per formula unit, ρ 6.3 Mg/m³. Number 2: uncorrected energy -149.9 eV per cell, spin magnetization 1.59 μB per formula unit, ρ 6.7 Mg/m³. Number 3: uncorrected energy -16.8 eV per cell, spin magnetization 0.00 μB per formula unit, ρ 6.8 Mg/m³. Number 4: uncorrected energy -21.8 eV per cell, spin magnetization 0.46 μB per formula unit, ρ 10.4 Mg/m³. Number 5: uncorrected energy -23.6 eV per cell, spin magnetization 1.02 μB per formula unit, ρ 3.4 Mg/m³. Number 6: uncorrected energy -16.8 eV per cell, spin magnetization 0.00 μB per formula unit, ρ 6.3 Mg/m³.